# ScNiSO2

A geometry-optimized ScNiSO2 structure (GGA+U, Alexandria).

Summary:
energy: -5.601 eV per atom
total magnetic moment: 2.0 Bohr magnetons per cell

abc: 3.9006 3.9006 5.4293
angles: 90.00 90.00 90.00
Space group P4/mmm (No. 123)
Asymmetric unit:
Sc 0.0000 0.0000 0.0000 x1
Ni 0.5000 0.5000 0.5000 x1
S 0.0000 0.0000 0.5000 x1
O 0.0000 0.5000 0.0000 x2